w | Compound: Tl2InI3
Source: Alexandria
Functional: PBE
Structure: optimized geometry

- Calculated volume: 44.165 Å³/atom
- Symmetry: No. 71
- Magnetic moment: 0.0 μB/f.u.

abc: 5.0112 7.0694 8.6445
angles: 114.14 106.85 90.00
With the nearest neighbours (Å) after each atom.
Fractional coordinates of all 6 atoms:
1 Tl 0.8327 0.3327 0.6653  6 I 3.53-3.55
2 I 0.5000 0.5000 0.0000  2 In 3.53, 4 Tl 3.54
3 Tl 0.1673 0.6673 0.3347  6 I 3.53-3.55
4 I 0.8352 0.8352 0.6704  2 In 3.51-3.52, 4 Tl 3.53-3.55
5 I 0.1648 0.1648 0.3296  2 In 3.51-3.52, 4 Tl 3.53-3.55
6 In 0.5000 0.0000 0.0000  6 I 3.51-3.53

---

x | Compound: Tl2InI3
Source: Alexandria
Functional: PBE
Structure: optimized geometry

- Calculated volume: 54.673 Å³/atom
- Symmetry: No. 36
- Magnetic moment: 0.0 μB/f.u.

abc: 7.0410 10.3898 10.3898
angles: 120.32 90.00 90.00
With the nearest neighbours (Å) after each atom.
Fractional coordinates of all 12 atoms:
1 I 0.4937 0.4977 0.1662  1 In 3.44, 4 Tl 3.47-3.52
2 Tl 0.4937 0.5011 0.8339  5 I 3.47-3.52
3 I 0.9912 0.1638 0.1638  3 In 3.42-3.53, 2 Tl 3.47
4 Tl 0.9937 0.4989 0.1661  5 I 3.47-3.52
5 I 0.4912 0.8362 0.8362  3 In 3.42-3.53, 2 Tl 3.47
6 Tl 0.9937 0.1661 0.4989  5 I 3.47-3.52
7 In 0.4921 0.1672 0.1672  5 I 3.42-3.53
8 Tl 0.4937 0.8339 0.5011  5 I 3.47-3.52
9 I 0.4937 0.1662 0.4977  1 In 3.44, 4 Tl 3.47-3.52
10 In 0.9921 0.8328 0.8328  5 I 3.42-3.53
11 I 0.9937 0.8338 0.5023  1 In 3.44, 4 Tl 3.47-3.52
12 I 0.9937 0.5023 0.8338  1 In 3.44, 4 Tl 3.47-3.52

---

Which of them is the most stable, and which is the least stable? w and x, in that order.

---

w | Compound: Tl2In2I
Source: Alexandria
Functional: PBE
Structure: optimized geometry

- Calculated volume: 34.761 Å³/atom
- Symmetry: No. 139
- Magnetic moment: 0.0 μB/f.u.

abc: 4.4449 4.4449 9.3416
angles: 76.24 76.24 90.00
With the nearest neighbours (Å) after each atom.
Fractional coordinates of all 5 atoms:
1 Tl 0.4073 0.4073 0.1854  1 Tl 3.26, 4 I 3.54, 4 In 3.55
2 In 0.2500 0.7500 0.5000  4 In 3.14
3 I 0.0000 0.0000 0.0000  8 Tl 3.54
4 In 0.7500 0.2500 0.5000  4 In 3.14
5 Tl 0.5927 0.5927 0.8146  1 Tl 3.26, 4 I 3.54, 4 In 3.55

---

x | Compound: Tl2In2I
Source: Alexandria
Functional: PBE
Structure: optimized geometry

- Calculated volume: 32.904 Å³/atom
- Symmetry: No. 127
- Magnetic moment: 0.0 μB/f.u.

abc: 8.9761 8.9761 4.0839
angles: 90.00 90.00 90.00
With the nearest neighbours (Å) after each atom.
Fractional coordinates of all 10 atoms:
1 Tl 0.1807 0.6807 0.5000  6 In 3.21-3.45
2 In 0.3758 0.8758 0.0000  1 In 3.15, 6 Tl 3.21-3.45
3 In 0.8758 0.6242 0.0000  1 In 3.15, 6 Tl 3.21-3.45
4 In 0.1242 0.3758 0.0000  1 In 3.15, 6 Tl 3.21-3.45
5 I 0.0000 0.0000 0.0000  4 In 3.55, 8 Tl 3.87
6 Tl 0.3193 0.1807 0.5000  6 In 3.21-3.45
7 In 0.6242 0.1242 0.0000  1 In 3.15, 6 Tl 3.21-3.45
8 Tl 0.6807 0.8193 0.5000  6 In 3.21-3.45
9 I 0.5000 0.5000 0.0000  4 In 3.55, 8 Tl 3.87
10 Tl 0.8193 0.3193 0.5000  6 In 3.21-3.45

---

y | Compound: Tl2In2I
Source: Alexandria
Functional: PBE
Structure: optimized geometry

- Calculated volume: 33.222 Å³/atom
- Symmetry: No. 127
- Magnetic moment: 0.0 μB/f.u.

abc: 9.0703 9.0703 4.0381
angles: 90.00 90.00 90.00
With the nearest neighbours (Å) after each atom.
Fractional coordinates of all 10 atoms:
1 I 0.0000 0.0000 0.0000  4 Tl 3.48
2 Tl 0.6439 0.1439 0.0000  6 In 3.25-3.40, 2 I 3.48
3 Tl 0.3561 0.8561 0.0000  6 In 3.25-3.40, 2 I 3.48
4 Tl 0.8561 0.6439 0.0000  6 In 3.25-3.40, 2 I 3.48
5 In 0.1576 0.6576 0.5000  6 Tl 3.25-3.40
6 I 0.5000 0.5000 0.0000  4 Tl 3.48
7 In 0.3424 0.1576 0.5000  6 Tl 3.25-3.40
8 Tl 0.1439 0.3561 0.0000  6 In 3.25-3.40, 2 I 3.48
9 In 0.8424 0.3424 0.5000  6 Tl 3.25-3.40
10 In 0.6576 0.8424 0.5000  6 Tl 3.25-3.40

---

Which of them is the most stable, and which is the least stable? x and y, in that order.

---

w | Compound: Tl2InI
Source: Alexandria
Functional: PBE
Structure: optimized geometry

- Calculated volume: 35.350 Å³/atom
- Symmetry: No. 160
- Magnetic moment: 0.0 μB/f.u.

abc: 4.1504 4.1504 9.7765
angles: 77.74 77.74 60.00
With the nearest neighbours (Å) after each atom.
Fractional coordinates of all 4 atoms:
1 Tl 0.0806 0.0806 0.7583  3 In 3.29, 3 I 3.41
2 I 0.4992 0.4992 0.5024  6 Tl 3.41-3.43
3 Tl 0.2523 0.2523 0.2431  3 In 3.35, 3 I 3.43
4 In 0.6679 0.6679 0.9962  6 Tl 3.29-3.35

---

x | Compound: Tl2InI
Source: Alexandria
Functional: PBE
Structure: optimized geometry

- Calculated volume: 34.137 Å³/atom
- Symmetry: No. 225
- Magnetic moment: 0.0 μB/f.u.

abc: 5.7801 5.7801 5.7801
angles: 60.00 60.00 60.00
With the nearest neighbours (Å) after each atom.
Fractional coordinates of all 4 atoms:
1 I 0.5000 0.5000 0.5000  8 Tl 3.54
2 Tl 0.7500 0.7500 0.7500  4 In 3.54, 4 I 3.54
3 Tl 0.2500 0.2500 0.2500  4 In 3.54, 4 I 3.54
4 In 0.0000 0.0000 0.0000  8 Tl 3.54

---

y | Compound: Tl2InI
Source: Alexandria
Functional: PBE
Structure: optimized geometry

- Calculated volume: 47.133 Å³/atom
- Symmetry: No. 122
- Magnetic moment: 0.0 μB/f.u.

abc: 6.9202 6.9202 9.2702
angles: 68.08 68.08 90.00
With the nearest neighbours (Å) after each atom.
Fractional coordinates of all 8 atoms:
1 I 0.0000 0.0000 0.0000  4 Tl 3.34
2 Tl 0.1747 0.6250 0.2500  2 In 2.96
3 I 0.7500 0.2500 0.5000  4 Tl 3.34
4 Tl 0.5753 0.1250 0.2500  2 In 2.96
5 In 0.2500 0.7500 0.5000  4 Tl 2.96
6 Tl 0.8750 0.8253 0.7500  2 In 2.96
7 Tl 0.3750 0.4247 0.7500  2 In 2.96
8 In 0.5000 0.5000 0.0000  4 Tl 2.96

---

Which of them is the most stable, and which is the least stable? w and y, in that order.